Compound: Cd2POs
Source: Alexandria
Functional: PBE
Structure: relaxed

Summary:
Offset from the most stable computed form = 135 meV/atom
Size of the total moment = 0.00 μB per cell
E_form = 0.19 eV per atom

```
Cd2POs
1.0
3.639 0.000 0.000
0.000 4.247 0.001
0.000 2.127 4.972
P Cd Os
1 2 1
Direct
0.500 0.560 0.757
0.500 0.280 0.316
0.000 0.973 0.929
0.000 0.688 0.498
```